1.
DFT (PBE) results for a relaxed Nd2Er12Th5 crystal.

Unit cell a=6.0016 b=9.8019 c=11.0572 alpha=70.00 beta=83.38 gamma=88.94
Last column: nearest neighbours and their distance in Å.
Space group P-1 (No. 2)
One atom of each set of equivalent atoms:
1 Nd 0.2074 0.4296 0.0839 x2  7 Er 3.26-3.62, 1 Nd 3.28, 1 Th 3.47
2 Er 0.0513 0.1736 0.3977 x2  4 Er 3.20-3.47, 2 Th 3.26-3.43, 1 Nd 3.55
3 Er 0.0811 0.8211 0.0176 x2  6 Er 3.41-3.57, 4 Th 3.51-3.71, 2 Nd 3.58-3.73
4 Er 0.1157 0.0961 0.7124 x2  4 Th 3.33-3.51, 6 Er 3.37-3.69
5 Er 0.3443 0.6888 0.7745 x2  4 Er 3.20-3.57, 3 Nd 3.26-3.53, 2 Th 3.54-3.55
6 Er 0.4491 0.3164 0.8414 x2  5 Er 3.38-3.69, 2 Nd 3.41-3.62, 4 Th 3.48-3.65
7 Er 0.4602 0.6769 0.4683 x2  3 Th 3.32-3.60, 4 Er 3.33-3.42
8 Th 0.0192 0.5386 0.3451 x2  1 Th 3.23, 4 Er 3.43-3.60, 1 Nd 3.47
9 Th 0.3982 0.0303 0.1517 x2  8 Er 3.33-3.62, 1 Th 3.67
10 Th 0.5000 0.0000 0.5000 x1  10 Er 3.26-3.63

Summary:
magnetization: 0.0000 μB/atom

---

2.
DFT (PBE) results for a relaxed Nd2Er12Th5 crystal.

Unit cell a=18.5819 b=7.0482 c=10.1596 alpha=90.00 beta=113.11 gamma=90.00
Last column: nearest neighbours and their distance in Å.
Space group C2/m (No. 12)
One atom of each set of equivalent atoms:
1 Nd 0.0000 0.2126 0.0000 x4  1 Nd 3.00, 2 Er 3.02
2 Er 0.0008 0.0000 0.3291 x4  7 Er 3.35-3.73, 2 Nd 3.66
3 Er 0.0273 0.5000 0.2357 x4  2 Th 2.92-3.25, 2 Nd 3.02
4 Er 0.1580 0.2541 0.8633 x8  6 Er 3.35-3.63, 2 Th 3.53-3.55, 1 Nd 3.72
5 Er 0.1651 0.2507 0.5134 x8  6 Er 3.27-3.61, 4 Th 3.49-3.66
6 Th 0.0000 0.5000 0.5000 x2  2 Er 2.92
7 Th 0.1825 0.0000 0.2123 x4  2 Th 3.54, 2 Nd 3.56, 8 Er 3.56-3.84
8 Th 0.1889 0.5000 0.1838 x4  5 Er 3.25-3.55, 2 Th 3.54

Summary:
magnetization: 0.0000 μB/atom

---

List of relative energies, unit eV/atom: 1 0.000; 2 0.069